The following is a DFT calculation (PBE with a Hubbard U) of crystalline MgBe2VO6 at its relaxed geometry.

## Properties
The magnetic moment comes out at 1.9 Bohr magnetons per cell. Its space-group type is C2/c. Its raw total energy is -6.7536 eV/atom.

abc: 6.4301 6.4301 5.4037
angles: 109.05 109.05 82.45
With the nearest neighbours (Å) after each atom.
Fractional coordinates of all 20 atoms:
Mg 0.0994 0.9006 0.7500  6 O 1.99-2.16
Mg 0.9006 0.0994 0.2500  6 O 1.99-2.16
Be 0.2335 0.3840 0.8511  4 O 1.59-1.69
Be 0.3840 0.2335 0.3511  4 O 1.59-1.69
Be 0.6160 0.7665 0.6489  4 O 1.59-1.69
Be 0.7665 0.6160 0.1489  4 O 1.59-1.69
V 0.2498 0.7502 0.2500  6 O 1.83-2.03
V 0.7502 0.2498 0.7500  6 O 1.83-2.03
O 0.0270 0.2179 0.6922  1 Be 1.63
O 0.1592 0.6345 0.8749  1 Be 1.59
O 0.2179 0.0270 0.1922  1 Be 1.63
O 0.3063 0.4231 0.1934  2 Be 1.64-1.69
O 0.3655 0.8408 0.6251  1 Be 1.59
O 0.4231 0.3063 0.6934  2 Be 1.64-1.69
O 0.5769 0.6937 0.3066  2 Be 1.64-1.69
O 0.6345 0.1592 0.3749  1 Be 1.59
O 0.6937 0.5769 0.8066  2 Be 1.64-1.69
O 0.7821 0.9730 0.8078  1 Be 1.63
O 0.8408 0.3655 0.1251  1 Be 1.59
O 0.9730 0.7821 0.3078  1 Be 1.63